KAc2MnO5: optimized geometry, GGA+U.

Its total magnetization is 0.45 μB per atom. Its calculated total energy is -7.137 eV/atom. Its density of states at the Fermi level is 0.000 states/eV/cell.

It has space group P4/mbm (No. 127), with a = 7.1639 Å, b = 7.1639 Å, c = 5.9646 Å, α = 90.00°, β = 90.00° and γ = 90.00°. The inequivalent atoms are K at (0.0000, 0.0000, 0.0000), Ac at (0.1821, 0.3179, 0.5000), Mn at (0.0000, 0.5000, 0.0000), O at (0.0000, 0.0000, 0.5000) and O at (0.1292, 0.6292, 0.2353).